1.
VASP calculation (PBE) on an optimized crystal structure of Sm6C2S3O.

Volume: 20.1 Å³/atom
Theoretical density: 7.15 g cm⁻³
Energy relative to the elements, uncorrected: -1.605 eV per atom
Space group: No. 12
Raw total energy: -83.4 eV for the cell shown

The structure in extended XYZ format:
```
12
Lattice="8.4651 -1.8981 0.0000 8.4651 1.8981 0.0000 -2.1087 0.0000 7.5017" Properties=species:S:1:pos:R:3 pbc="T T T"
Sm -0.3284 0.0000 1.7786
Sm 4.5970 0.0000 3.2712
Sm 3.8525 0.0000 6.7129
Sm 10.9689 0.0000 0.7887
Sm 10.2244 0.0000 4.2304
Sm 15.1498 0.0000 5.7230
C 2.0695 0.0000 2.4462
C 12.7519 0.0000 5.0555
S 1.0529 0.0000 6.2509
S 7.4107 0.0000 3.7508
S 13.7685 0.0000 1.2507
O 8.4651 0.0000 0.0000
```


2.
VASP calculation (PBE) on an optimized crystal structure of Sm8C3S4O.

Volume: 20.2 Å³/atom
Theoretical density: 7.11 g cm⁻³
Energy relative to the elements, uncorrected: -1.512 eV per atom
Space group: No. 166
Raw total energy: -111.1 eV for the cell shown

The structure in extended XYZ format:
```
16
Lattice="3.7982 2.1929 6.4663 -3.7982 2.1929 6.4663 0.0000 -4.3858 6.4663" Properties=species:S:1:pos:R:3 pbc="T T T"
Sm -1.9284 -1.1133 11.0928
Sm 0.0000 0.0000 4.6480
Sm 0.0000 -2.2267 8.3062
Sm -1.9284 1.1133 8.3062
Sm 1.9284 -1.1134 11.0928
Sm 0.0000 2.2267 11.0928
Sm 0.0000 0.0000 14.7510
Sm 1.9284 1.1134 8.3062
C -3.7982 0.0000 9.6995
C -1.8991 1.0965 3.2332
C 1.8991 1.0965 3.2332
S 0.0000 0.0000 0.0000
S -1.8991 -1.0965 6.4663
S -1.8991 1.0965 12.9327
S 0.0000 2.1929 6.4663
O 0.0000 0.0000 9.6995
```


3.
VASP calculation (PBE) on an optimized crystal structure of Ta2CSO.

Volume: 12.9 Å³/atom
Theoretical density: 10.83 g cm⁻³
Energy relative to the elements, uncorrected: 0.280 eV per atom
Space group: No. 123
Raw total energy: -40.6 eV for the cell shown

The structure in extended XYZ format:
```
5
Lattice="4.3104 0.0000 0.0000 0.0000 4.3104 0.0000 0.0000 0.0000 3.4823" Properties=species:S:1:pos:R:3 pbc="T T T"
Ta 0.0000 2.1552 0.0000
Ta 2.1552 0.0000 0.0000
C 0.0000 0.0000 0.0000
S 2.1552 2.1552 1.7411
O 0.0000 0.0000 1.7411
```


4.
VASP calculation (PBE) on an optimized crystal structure of Tb3CSO.

Volume: 19.7 Å³/atom
Theoretical density: 7.52 g cm⁻³
Energy relative to the elements, uncorrected: -1.756 eV per atom
Space group: No. 11
Raw total energy: -85.5 eV for the cell shown

The structure in extended XYZ format:
```
12
Lattice="7.7559 0.0000 0.0000 0.0000 3.7421 0.0000 -1.6981 0.0000 8.1636" Properties=species:S:1:pos:R:3 pbc="T T T"
Tb -0.1245 0.9355 2.8226
Tb 0.6241 0.9355 7.9407
Tb 1.7999 2.8066 5.2213
Tb 4.2579 0.9355 2.9423
Tb 5.4337 2.8066 0.2229
Tb 6.1823 2.8066 5.3410
C 0.1609 0.9355 5.2547
C 5.8969 2.8066 2.9089
S 2.0568 2.8066 2.3672
S 4.0010 0.9355 5.7964
O 1.6214 2.8066 7.4039
O 4.4364 0.9355 0.7597
```


5.
VASP calculation (PBE) on an optimized crystal structure of Tb8C3S3O.

Volume: 19.9 Å³/atom
Theoretical density: 7.91 g cm⁻³
Energy relative to the elements, uncorrected: -1.390 eV per atom
Space group: No. 166
Raw total energy: -102.9 eV for the cell shown

The structure in extended XYZ format:
```
15
Lattice="3.6985 2.1353 6.2859 -3.6985 2.1353 6.2859 0.0000 -4.2707 6.2859" Properties=species:S:1:pos:R:3 pbc="T T T"
Tb -1.8924 -1.0926 10.7858
Tb 0.0000 0.0000 4.5071
Tb 0.0000 -2.1852 8.0719
Tb -1.8924 1.0926 8.0719
Tb 1.8924 -1.0926 10.7858
Tb 0.0000 2.1852 10.7858
Tb 0.0000 0.0000 14.3507
Tb 1.8924 1.0926 8.0719
C -3.6985 0.0000 9.4289
C -1.8493 1.0677 3.1430
C 1.8493 1.0677 3.1430
S -1.8493 -1.0677 6.2859
S -1.8493 1.0677 12.5718
S 0.0000 2.1353 6.2859
O 0.0000 0.0000 9.4289
```


6.
VASP calculation (PBE) on an optimized crystal structure of Tb6C3S2O.

Volume: 18.3 Å³/atom
Theoretical density: 8.11 g cm⁻³
Energy relative to the elements, uncorrected: -1.352 eV per atom
Space group: No. 12
Raw total energy: -84.9 eV for the cell shown

The structure in extended XYZ format:
```
12
Lattice="8.1666 -1.8422 0.0000 8.1666 1.8422 0.0000 -1.8995 0.0000 7.2834" Properties=species:S:1:pos:R:3 pbc="T T T"
Tb -0.3579 0.0000 1.8096
Tb 4.5851 0.0000 3.2025
Tb 3.9065 0.0000 6.5268
Tb 10.5272 0.0000 0.7566
Tb 9.8487 0.0000 4.0809
Tb 14.7917 0.0000 5.4738
C 2.0388 0.0000 2.4560
C 8.1666 0.0000 0.0000
C 12.3949 0.0000 4.8274
S 1.1425 0.0000 6.0705
S 13.2912 0.0000 1.2129
O 7.2169 0.0000 3.6417
```


Q: Which of these has the highest energy relative to the elements, uncorrected?
A: Ta2CSO


Q: raw total energy of number 4 (Tb3CSO)?
A: -85.5 eV for the cell shown


What did the third record say?
VASP calculation (PBE) on an optimized crystal structure of Ta2CSO.

Volume: 12.9 Å³/atom
Theoretical density: 10.83 g cm⁻³
Energy relative to the elements, uncorrected: 0.280 eV per atom
Space group: No. 123
Raw total energy: -40.6 eV for the cell shown

The structure in extended XYZ format:
```
5
Lattice="4.3104 0.0000 0.0000 0.0000 4.3104 0.0000 0.0000 0.0000 3.4823" Properties=species:S:1:pos:R:3 pbc="T T T"
Ta 0.0000 2.1552 0.0000
Ta 2.1552 0.0000 0.0000
C 0.0000 0.0000 0.0000
S 2.1552 2.1552 1.7411
O 0.0000 0.0000 1.7411
```